Below is a relaxed structure of V2ReAs, with properties calculated at the PBE level.

a b c (Å): 6.7307 6.7307 5.4558
angles (deg): 90.00 90.00 90.00
Element x y z (fractional)
V (0.2449, 0.2500, 0.1250)
V (0.2500, 0.7449, 0.3750)
V (0.2500, 0.7551, 0.8750)
V (0.2551, 0.2500, 0.6250)
V (0.7449, 0.7500, 0.6250)
V (0.7500, 0.2449, 0.8750)
V (0.7500, 0.2551, 0.3750)
V (0.7551, 0.7500, 0.1250)
Re (0.0000, 0.0000, 0.5000)
Re (0.0000, 0.5000, 0.7500)
Re (0.5000, 0.0000, 0.2500)
Re (0.5000, 0.5000, 0.0000)
As (0.0000, 0.0000, 0.0000)
As (0.0000, 0.5000, 0.2500)
As (0.5000, 0.0000, 0.7500)
As (0.5000, 0.5000, 0.5000)

DOS(E_F): 15.3 states/eV/cell
formation energy: 0.44 eV/atom
symmetry: I-42d

Below is a relaxed structure of V2ReAs, with properties calculated at the PBE level.

a b c (Å): 3.1942 3.1942 5.5212
angles (deg): 90.00 90.00 90.00
Element x y z (fractional)
V (0.0000, 0.0000, 0.2373)
V (0.0000, 0.0000, 0.7627)
Re (0.5000, 0.5000, 0.5000)
As (0.5000, 0.5000, 0.0000)

DOS(E_F): 3.7 states/eV/cell
formation energy: -0.17 eV/atom
symmetry: P4/mmm

Below is a relaxed structure of V3ReAs, with properties calculated at the PBE level.

a b c (Å): 4.3847 4.3847 4.3847
angles (deg): 90.00 90.00 90.00
Element x y z (fractional)
V (0.0000, 0.0000, 0.5000)
V (0.0000, 0.5000, 0.0000)
V (0.5000, 0.0000, 0.0000)
Re (0.5000, 0.5000, 0.5000)
As (0.0000, 0.0000, 0.0000)

DOS(E_F): 6.5 states/eV/cell
formation energy: 1.01 eV/atom
symmetry: Pm-3m

Below is a relaxed structure of V2ReAs, with properties calculated at the PBE level.

a b c (Å): 3.0014 3.0014 22.9475
angles (deg): 90.00 90.00 120.00
Element x y z (fractional)
V (0.0000, 0.0000, 0.2494)
V (0.0000, 0.0000, 0.7506)
V (0.3333, 0.6667, 0.4172)
V (0.3333, 0.6667, 0.9161)
V (0.6667, 0.3333, 0.0839)
V (0.6667, 0.3333, 0.5828)
Re (0.0000, 0.0000, 0.5000)
Re (0.3333, 0.6667, 0.1667)
Re (0.6667, 0.3333, 0.8333)
As (0.0000, 0.0000, 0.0000)
As (0.3333, 0.6667, 0.6667)
As (0.6667, 0.3333, 0.3333)

DOS(E_F): 16.5 states/eV/cell
formation energy: 0.03 eV/atom
symmetry: R-3m

Below is a relaxed structure of VReAs, with properties calculated at the PBE level.

a b c (Å): 4.3247 4.3245 10.5246
angles (deg): 90.00 91.77 90.00
Element x y z (fractional)
V (0.2444, 0.0000, 0.4277)
V (0.2556, 0.5000, 0.5723)
V (0.7444, 0.5000, 0.4277)
V (0.7556, 0.0000, 0.5723)
Re (0.2346, 0.5000, 0.2919)
Re (0.2654, 0.0000, 0.7081)
Re (0.7346, 0.0000, 0.2919)
Re (0.7654, 0.5000, 0.7081)
As (0.2219, 0.0000, 0.1429)
As (0.2781, 0.5000, 0.8571)
As (0.7219, 0.5000, 0.1429)
As (0.7781, 0.0000, 0.8571)

DOS(E_F): 6.6 states/eV/cell
formation energy: -0.14 eV/atom
symmetry: C2/m

Below is a relaxed structure of VReAs, with properties calculated at the PBE level.

a b c (Å): 4.2595 4.2595 2.8327
angles (deg): 90.00 90.00 120.00
Element x y z (fractional)
V (0.0000, 0.0000, 0.0000)
Re (0.6667, 0.3333, 0.5000)
As (0.3333, 0.6667, 0.5000)

DOS(E_F): 3.2 states/eV/cell
formation energy: 0.02 eV/atom
symmetry: P-6m2

Below is a relaxed structure of V2ReAs4, with properties calculated at the PBE level.

a b c (Å): 13.7286 3.2197 6.0410
angles (deg): 90.00 115.38 90.00
Element x y z (fractional)
V (0.2480, 0.0000, 0.2585)
V (0.2520, 0.5000, 0.7415)
V (0.7480, 0.5000, 0.2585)
V (0.7520, 0.0000, 0.7415)
Re (0.0000, 0.5000, 0.5000)
Re (0.5000, 0.0000, 0.5000)
As (0.1204, 0.5000, 0.2897)
As (0.1234, 0.0000, 0.8141)
As (0.3766, 0.5000, 0.1859)
As (0.3796, 0.0000, 0.7103)
As (0.6204, 0.0000, 0.2897)
As (0.6234, 0.5000, 0.8141)
As (0.8766, 0.0000, 0.1859)
As (0.8796, 0.5000, 0.7103)

DOS(E_F): 9.0 states/eV/cell
formation energy: -0.21 eV/atom
symmetry: C2/m

Below is a relaxed structure of VReAs3, with properties calculated at the PBE level.

a b c (Å): 4.8335 4.8335 4.8335
angles (deg): 90.00 90.00 90.00
Element x y z (fractional)
V (0.0000, 0.0000, 0.0000)
Re (0.5000, 0.5000, 0.5000)
As (0.0000, 0.5000, 0.5000)
As (0.5000, 0.0000, 0.5000)
As (0.5000, 0.5000, 0.0000)

DOS(E_F): 5.0 states/eV/cell
formation energy: 0.89 eV/atom
symmetry: Pm-3m

Below is a relaxed structure of VRe2As4, with properties calculated at the PBE level.

a b c (Å): 6.5845 6.5845 7.1052
angles (deg): 105.02 105.02 115.44
Element x y z (fractional)
V (0.1305, 0.8695, 0.5000)
V (0.8695, 0.1305, 0.0000)
Re (0.1293, 0.8866, 0.1050)
Re (0.4435, 0.7130, 0.6085)
Re (0.7130, 0.4435, 0.1085)
Re (0.8866, 0.1293, 0.6050)
As (0.0873, 0.6135, 0.7414)
As (0.1690, 0.5810, 0.2208)
As (0.1744, 0.2285, 0.4118)
As (0.2285, 0.1744, 0.9118)
As (0.5810, 0.1690, 0.7208)
As (0.6135, 0.0873, 0.2414)
As (0.6585, 0.7046, 0.9410)
As (0.7046, 0.6585, 0.4410)

DOS(E_F): 6.4 states/eV/cell
formation energy: -0.13 eV/atom
symmetry: Cc

Below is a relaxed structure of V3ReAs, with properties calculated at the PBE level.

a b c (Å): 4.6013 4.6013 4.6013
angles (deg): 90.00 90.00 90.00
Element x y z (fractional)
V (0.0000, 0.0000, 0.5000)
V (0.0000, 0.5000, 0.0000)
V (0.5000, 0.0000, 0.0000)
Re (0.0000, 0.0000, 0.0000)
As (0.5000, 0.5000, 0.5000)

DOS(E_F): 6.7 states/eV/cell
formation energy: 1.15 eV/atom
symmetry: Pm-3m

Below is a relaxed structure of Re2AsW, with properties calculated at the PBE level.

a b c (Å): 2.9547 2.9547 6.9280
angles (deg): 90.00 90.00 90.00
Element x y z (fractional)
Re (0.0000, 0.0000, 0.0000)
Re (0.5000, 0.5000, 0.2526)
As (0.5000, 0.5000, 0.7616)
W (0.0000, 0.0000, 0.5198)

DOS(E_F): 2.7 states/eV/cell
formation energy: 0.18 eV/atom
symmetry: P4mm

Below is a relaxed structure of Re2AsW, with properties calculated at the PBE level.

a b c (Å): 3.8909 3.8909 17.8355
angles (deg): 90.00 90.00 90.00
Element x y z (fractional)
Re (0.2082, 0.2500, 0.1250)
Re (0.2500, 0.7082, 0.3750)
Re (0.2500, 0.7918, 0.8750)
Re (0.2918, 0.2500, 0.6250)
Re (0.7082, 0.7500, 0.6250)
Re (0.7500, 0.2082, 0.8750)
Re (0.7500, 0.2918, 0.3750)
Re (0.7918, 0.7500, 0.1250)
As (0.0000, 0.0000, 0.0000)
As (0.0000, 0.5000, 0.2500)
As (0.5000, 0.0000, 0.7500)
As (0.5000, 0.5000, 0.5000)
W (0.0000, 0.0000, 0.5000)
W (0.0000, 0.5000, 0.7500)
W (0.5000, 0.0000, 0.2500)
W (0.5000, 0.5000, 0.0000)

DOS(E_F): 13.4 states/eV/cell
formation energy: 0.81 eV/atom
symmetry: I-42d

Below is a relaxed structure of ReAs3W, with properties calculated at the PBE level.

a b c (Å): 6.5781 3.1587 8.6340
angles (deg): 90.00 102.66 90.00
Element x y z (fractional)
Re (0.1888, 0.2500, 0.4887)
Re (0.8112, 0.7500, 0.5113)
As (0.0059, 0.7500, 0.2844)
As (0.2270, 0.7500, 0.0384)
As (0.4864, 0.7500, 0.6474)
As (0.5136, 0.2500, 0.3526)
As (0.7730, 0.2500, 0.9616)
As (0.9941, 0.2500, 0.7156)
W (0.3839, 0.2500, 0.8634)
W (0.6161, 0.7500, 0.1366)

DOS(E_F): 3.0 states/eV/cell
formation energy: -0.01 eV/atom
symmetry: P2_1/m

Below is a relaxed structure of Re2AsW, with properties calculated at the PBE level.

a b c (Å): 3.0224 4.4931 8.8865
angles (deg): 90.00 90.00 90.00
Element x y z (fractional)
Re (0.0000, 0.0000, 0.0000)
Re (0.0000, 0.5000, 0.2364)
Re (0.5000, 0.0000, 0.7364)
Re (0.5000, 0.5000, 0.5000)
As (0.0000, 0.0000, 0.5084)
As (0.5000, 0.5000, 0.0084)
W (0.0000, 0.5000, 0.7767)
W (0.5000, 0.0000, 0.2767)

DOS(E_F): 4.5 states/eV/cell
formation energy: 0.26 eV/atom
symmetry: Imm2

Below is a relaxed structure of Re2AsW, with properties calculated at the PBE level.

a b c (Å): 2.8379 4.0959 5.4733
angles (deg): 90.00 104.89 90.00
Element x y z (fractional)
Re (0.0000, 0.0000, 0.0000)
Re (0.3779, 0.5000, 0.7587)
As (0.2387, 0.0000, 0.4802)
W (0.6300, 0.5000, 0.2621)

DOS(E_F): 4.4 states/eV/cell
formation energy: 0.29 eV/atom
symmetry: Pm

Below is a relaxed structure of Re2AsW, with properties calculated at the PBE level.

a b c (Å): 3.7844 3.7844 8.5174
angles (deg): 90.00 90.00 90.00
Element x y z (fractional)
Re (0.0000, 0.0000, 0.0000)
Re (0.0000, 0.5000, 0.2500)
Re (0.5000, 0.0000, 0.7500)
Re (0.5000, 0.5000, 0.5000)
As (0.0000, 0.0000, 0.5000)
As (0.5000, 0.5000, 0.0000)
W (0.0000, 0.5000, 0.7500)
W (0.5000, 0.0000, 0.2500)

DOS(E_F): 6.3 states/eV/cell
formation energy: 0.50 eV/atom
symmetry: I-4m2

Below is a relaxed structure of Re2AsW, with properties calculated at the PBE level.

a b c (Å): 2.9387 4.0970 5.1450
angles (deg): 90.00 90.00 90.00
Element x y z (fractional)
Re (0.0000, 0.0000, 0.2501)
Re (0.0000, 0.0000, 0.7499)
As (0.5000, 0.5000, 0.0000)
W (0.5000, 0.5000, 0.5000)

DOS(E_F): 2.7 states/eV/cell
formation energy: 0.35 eV/atom
symmetry: Pmmm

Below is a relaxed structure of Re2AsW, with properties calculated at the PBE level.

a b c (Å): 2.9899 4.4889 8.9799
angles (deg): 90.00 90.00 90.00
Element x y z (fractional)
Re (0.0000, 0.0000, 0.2249)
Re (0.0000, 0.0000, 0.7751)
Re (0.5000, 0.5000, 0.2751)
Re (0.5000, 0.5000, 0.7249)
As (0.0000, 0.5000, 0.5000)
As (0.5000, 0.0000, 0.0000)
W (0.0000, 0.5000, 0.0000)
W (0.5000, 0.0000, 0.5000)

DOS(E_F): 5.1 states/eV/cell
formation energy: 0.24 eV/atom
symmetry: Immm

Below is a relaxed structure of Re3AsW, with properties calculated at the PBE level.

a b c (Å): 4.4651 4.4651 4.4651
angles (deg): 90.00 90.00 90.00
Element x y z (fractional)
Re (0.0000, 0.0000, 0.5000)
Re (0.0000, 0.5000, 0.0000)
Re (0.5000, 0.0000, 0.0000)
As (0.0000, 0.0000, 0.0000)
W (0.5000, 0.5000, 0.5000)

DOS(E_F): 5.3 states/eV/cell
formation energy: 1.72 eV/atom
symmetry: Pm-3m

Below is a relaxed structure of Re2As4W, with properties calculated at the PBE level.

a b c (Å): 6.7136 6.7136 7.0857
angles (deg): 105.23 105.23 115.55
Element x y z (fractional)
Re (0.1247, 0.8753, 0.5000)
Re (0.4403, 0.7086, 0.0105)
Re (0.7086, 0.4403, 0.5105)
Re (0.8753, 0.1247, 0.0000)
As (0.0868, 0.5988, 0.1374)
As (0.1605, 0.2262, 0.8061)
As (0.1615, 0.5753, 0.6145)
As (0.2262, 0.1605, 0.3061)
As (0.5753, 0.1615, 0.1145)
As (0.5988, 0.0868, 0.6374)
As (0.6572, 0.6790, 0.3242)
As (0.6790, 0.6572, 0.8242)
W (0.1140, 0.8619, 0.8975)
W (0.8619, 0.1140, 0.3975)

DOS(E_F): 5.0 states/eV/cell
formation energy: 0.01 eV/atom
symmetry: Cc

Below is a relaxed structure of Re2AsW, with properties calculated at the PBE level.

a b c (Å): 2.8394 2.8394 26.6073
angles (deg): 90.00 90.00 120.00
Element x y z (fractional)
Re (0.0000, 0.0000, 0.0000)
Re (0.0000, 0.0000, 0.2530)
Re (0.3333, 0.6667, 0.6667)
Re (0.3333, 0.6667, 0.9197)
Re (0.6667, 0.3333, 0.3333)
Re (0.6667, 0.3333, 0.5863)
As (0.0000, 0.0000, 0.5035)
As (0.3333, 0.6667, 0.1701)
As (0.6667, 0.3333, 0.8368)
W (0.0000, 0.0000, 0.7533)
W (0.3333, 0.6667, 0.4199)
W (0.6667, 0.3333, 0.0866)

DOS(E_F): 10.6 states/eV/cell
formation energy: 0.26 eV/atom
symmetry: R3m

Below is a relaxed structure of Re2AsW, with properties calculated at the PBE level.

a b c (Å): 3.0966 3.0966 6.3724
angles (deg): 90.00 90.00 90.00
Element x y z (fractional)
Re (0.0000, 0.0000, 0.2476)
Re (0.0000, 0.0000, 0.7524)
As (0.5000, 0.5000, 0.0000)
W (0.5000, 0.5000, 0.5000)

DOS(E_F): 1.9 states/eV/cell
formation energy: 0.20 eV/atom
symmetry: P4/mmm

Below is a relaxed structure of Re2AsW, with properties calculated at the PBE level.

a b c (Å): 2.8993 4.1149 5.1504
angles (deg): 90.00 90.00 90.00
Element x y z (fractional)
Re (0.0000, 0.0000, 0.0000)
Re (0.5000, 0.5000, 0.2427)
As (0.5000, 0.5000, 0.7489)
W (0.0000, 0.0000, 0.4976)

DOS(E_F): 2.4 states/eV/cell
formation energy: 0.33 eV/atom
symmetry: Pmm2

Below is a relaxed structure of Re2AsW, with properties calculated at the PBE level.

a b c (Å): 6.2853 6.2853 6.2853
angles (deg): 90.00 90.00 90.00
Element x y z (fractional)
Re (0.0000, 0.0000, 0.0000)
Re (0.0000, 0.5000, 0.5000)
Re (0.2500, 0.2500, 0.2500)
Re (0.2500, 0.7500, 0.7500)
Re (0.5000, 0.0000, 0.5000)
Re (0.5000, 0.5000, 0.0000)
Re (0.7500, 0.2500, 0.7500)
Re (0.7500, 0.7500, 0.2500)
As (0.0000, 0.0000, 0.5000)
As (0.0000, 0.5000, 0.0000)
As (0.5000, 0.0000, 0.0000)
As (0.5000, 0.5000, 0.5000)
W (0.2500, 0.2500, 0.7500)
W (0.2500, 0.7500, 0.2500)
W (0.7500, 0.2500, 0.2500)
W (0.7500, 0.7500, 0.7500)

DOS(E_F): 18.0 states/eV/cell
formation energy: 0.50 eV/atom
symmetry: F-43m

Below is a relaxed structure of Re2AsW, with properties calculated at the PBE level.

a b c (Å): 2.8252 4.1791 5.3655
angles (deg): 90.00 102.85 90.00
Element x y z (fractional)
Re (0.1487, 0.0000, 0.2551)
Re (0.8513, 0.0000, 0.7449)
As (0.5000, 0.5000, 0.5000)
W (0.5000, 0.5000, 0.0000)

DOS(E_F): 3.1 states/eV/cell
formation energy: 0.37 eV/atom
symmetry: P2/m

Below is a relaxed structure of Re2AsW, with properties calculated at the PBE level.

a b c (Å): 2.8933 2.8933 25.6776
angles (deg): 90.00 90.00 120.00
Element x y z (fractional)
Re (0.0000, 0.0000, 0.2492)
Re (0.0000, 0.0000, 0.7508)
Re (0.3333, 0.6667, 0.4175)
Re (0.3333, 0.6667, 0.9159)
Re (0.6667, 0.3333, 0.0841)
Re (0.6667, 0.3333, 0.5825)
As (0.0000, 0.0000, 0.5000)
As (0.3333, 0.6667, 0.1667)
As (0.6667, 0.3333, 0.8333)
W (0.0000, 0.0000, 0.0000)
W (0.3333, 0.6667, 0.6667)
W (0.6667, 0.3333, 0.3333)

DOS(E_F): 8.4 states/eV/cell
formation energy: 0.28 eV/atom
symmetry: R-3m

Below is a relaxed structure of Re2AsW, with properties calculated at the PBE level.

a b c (Å): 3.0453 4.6486 8.9724
angles (deg): 90.00 90.00 90.00
Element x y z (fractional)
Re (0.0000, 0.0000, 0.2435)
Re (0.0000, 0.0000, 0.7565)
Re (0.5000, 0.5000, 0.2435)
Re (0.5000, 0.5000, 0.7565)
As (0.0000, 0.5000, 0.5000)
As (0.5000, 0.0000, 0.5000)
W (0.0000, 0.5000, 0.0000)
W (0.5000, 0.0000, 0.0000)

DOS(E_F): 5.2 states/eV/cell
formation energy: 0.48 eV/atom
symmetry: Cmmm

Below is a relaxed structure of Re2AsW, with properties calculated at the PBE level.

a b c (Å): 3.0086 4.6627 9.0223
angles (deg): 90.00 90.00 90.00
Element x y z (fractional)
Re (0.0000, 0.0000, 0.0000)
Re (0.0000, 0.5000, 0.2412)
Re (0.5000, 0.0000, 0.2412)
Re (0.5000, 0.5000, 0.0000)
As (0.0000, 0.5000, 0.7423)
As (0.5000, 0.0000, 0.7423)
W (0.0000, 0.0000, 0.4887)
W (0.5000, 0.5000, 0.4887)

DOS(E_F): 5.5 states/eV/cell
formation energy: 0.52 eV/atom
symmetry: Cmm2